1.
PtPb3Au | the Alexandria database | PBE-GGA | relaxed; formation enthalpy at 0 K = 244 meV per atom
1.0
5.3712 0.0000 0.0000
0.0000 5.3712 0.0000
0.0000 0.0000 5.3712
Pt Pb Au
1 3 1
Cartesian
0.0000 0.0000 0.0000
0.0000 0.0000 2.6856
0.0000 2.6856 0.0000
2.6856 0.0000 0.0000
2.6856 2.6856 2.6856

***

2.
InW2Se | the Alexandria database | PBE-GGA | relaxed; energy relative to the elements, uncorrected = 819 meV/atom
1.0
3.1584 0.0000 0.0000
0.0000 4.7784 0.0000
0.0000 0.0000 4.7836
In W Se
1 2 1
Cartesian
0.0000 0.0000 0.0000
0.0000 2.3892 2.3918
1.5792 0.0000 2.3918
1.5792 2.3892 0.0000

***

3.
Cu2POs | the Alexandria database | PBE-GGA | relaxed; formation enthalpy at 0 K = 79 meV per atom
1.0
8.3588 0.0000 0.0000
0.0000 2.9730 0.0000
-1.6721 0.0000 4.2026
Cu P Os
4 2 2
Cartesian
0.0000 0.0000 0.0000
0.6057 0.0000 3.4875
4.1794 1.4865 0.0000
4.7851 1.4865 3.4875
-0.5996 1.4865 1.8012
3.5798 0.0000 1.8012
1.8062 1.4865 1.5834
5.9856 0.0000 1.5834

***

4.
CrOs2Rh | the Alexandria database | PBE-GGA | relaxed; formation enthalpy at 0 K = 36 meV per atom
1.0
3.7958 0.0000 0.0000
0.0000 3.7958 0.0000
0.0000 0.0000 3.8121
Cr Os Rh
1 2 1
Cartesian
0.0000 0.0000 0.0000
0.0000 1.8979 1.9060
1.8979 0.0000 1.9060
1.8979 1.8979 0.0000

***

5.
ZrMn2In | the Alexandria database | PBE-GGA | relaxed; formation enthalpy at 0 K = 158 meV per atom
1.0
3.0210 0.0000 0.0000
0.0000 4.3180 0.0000
-1.3286 0.0000 5.3903
Zr Mn In
1 2 1
Cartesian
0.0000 0.0000 0.0000
-0.1863 0.0000 2.9337
0.2158 2.1590 4.3256
1.4679 2.1590 1.8308

***

6.
CaAsBr2Cl | the Alexandria database | PBE-GGA | relaxed; energy relative to the elements, uncorrected = -156 meV/atom
1.0
6.2218 0.0000 0.0000
0.0000 6.2218 0.0000
0.0000 0.0000 4.4990
Ca As Br Cl
1 1 2 1
Cartesian
0.0000 0.0000 0.0000
3.1109 3.1109 0.0000
0.0000 3.1109 2.2495
3.1109 0.0000 2.2495
3.1109 3.1109 2.2495